SiTcNi: optimized geometry, GGA-PBE.

Calculated values
For the magnetization, the calculation gives 0.00 μB per cell. The value obtained for the distance to the lowest polymorph of the same formula is 155.7 meV per atom. Its symmetry is I4mm. The formation energy without anion corrections comes out at -0.74 eV per formula unit.

a = 2.878 Å, b = 2.878 Å, c = 8.965 Å
α = 90.00°, β = 90.00°, γ = 90.00°
Positions (direct):
Si1 0.000 0.000 0.000
Si2 0.500 0.500 0.500
Tc1 0.000 0.000 0.332
Tc2 0.500 0.500 0.832
Ni1 0.000 0.000 0.637
Ni2 0.500 0.500 0.137

=====

SiTcNi: optimized geometry, GGA-PBE.

Calculated values
For the magnetization, the calculation gives 0.00 μB per cell. The value obtained for the distance to the lowest polymorph of the same formula is 108.1 meV per atom. Its symmetry is P-1. The formation energy without anion corrections comes out at -0.88 eV per formula unit.

a = 3.985 Å, b = 4.595 Å, c = 5.033 Å
α = 67.62°, β = 66.77°, γ = 68.24°
Positions (direct):
Si1 0.046 0.223 0.222
Si2 0.954 0.777 0.778
Tc1 0.335 0.288 0.547
Tc2 0.665 0.712 0.453
Ni1 0.324 0.777 0.036
Ni2 0.676 0.223 0.964

=====

Si4TcNi: optimized geometry, GGA-PBE.

Calculated values
For the magnetization, the calculation gives 0.00 μB per cell. Its symmetry is F-43m. The formation energy without anion corrections comes out at 2.15 eV per formula unit.

a = 4.777 Å, b = 4.777 Å, c = 4.777 Å
α = 60.00°, β = 60.00°, γ = 60.00°
Positions (direct):
Si1 0.125 0.125 0.125
Si2 0.125 0.125 0.626
Si3 0.125 0.626 0.125
Si4 0.626 0.125 0.125
Tc1 0.750 0.750 0.750
Ni1 0.500 0.500 0.500

=====

SiTcNi2: optimized geometry, GGA-PBE.

Calculated values
For the magnetization, the calculation gives 0.00 μB per cell. Its symmetry is Cm. The formation energy without anion corrections comes out at -0.90 eV per formula unit.

a = 9.128 Å, b = 2.622 Å, c = 4.476 Å
α = 90.00°, β = 115.12°, γ = 90.00°
Positions (direct):
Si1 0.000 0.000 0.000
Si2 0.500 0.500 0.000
Tc1 0.247 0.000 0.888
Tc2 0.747 0.500 0.888
Ni1 0.215 0.500 0.364
Ni2 0.479 0.000 0.512
Ni3 0.715 0.000 0.364
Ni4 0.979 0.500 0.512

=====

SiTcNi2: optimized geometry, GGA-PBE.

Calculated values
For the magnetization, the calculation gives 0.00 μB per cell. Its symmetry is Cmmm. The formation energy without anion corrections comes out at -0.59 eV per formula unit.

a = 4.987 Å, b = 7.533 Å, c = 2.588 Å
α = 90.00°, β = 90.00°, γ = 90.00°
Positions (direct):
Si1 0.000 0.000 0.000
Si2 0.500 0.500 0.000
Tc1 0.000 0.500 0.000
Tc2 0.500 0.000 0.000
Ni1 0.250 0.250 0.500
Ni2 0.250 0.750 0.500
Ni3 0.750 0.250 0.500
Ni4 0.750 0.750 0.500

=====

SiTcNi: optimized geometry, GGA-PBE.

Calculated values
For the magnetization, the calculation gives 0.00 μB per cell. The value obtained for the distance to the lowest polymorph of the same formula is 120.8 meV per atom. Its symmetry is P-6m2. The formation energy without anion corrections comes out at -0.85 eV per formula unit.

a = 4.005 Å, b = 4.005 Å, c = 2.701 Å
α = 90.00°, β = 90.00°, γ = 120.00°
Positions (direct):
Si1 0.000 0.000 0.000
Tc1 0.333 0.667 0.500
Ni1 0.667 0.333 0.000

=====

SiTcNi: optimized geometry, GGA-PBE.

Calculated values
For the magnetization, the calculation gives 0.00 μB per cell. The value obtained for the distance to the lowest polymorph of the same formula is 103.6 meV per atom. Its symmetry is Cm. The formation energy without anion corrections comes out at -0.90 eV per formula unit.

a = 12.513 Å, b = 2.820 Å, c = 4.408 Å
α = 90.00°, β = 102.83°, γ = 90.00°
Positions (direct):
Si1 0.000 0.000 0.000
Si2 0.194 0.000 0.621
Si3 0.500 0.500 0.000
Si4 0.694 0.500 0.621
Tc1 0.167 0.500 0.135
Tc2 0.343 0.000 0.101
Tc3 0.667 0.000 0.135
Tc4 0.843 0.500 0.101
Ni1 0.028 0.500 0.540
Ni2 0.353 0.500 0.582
Ni3 0.528 0.000 0.540
Ni4 0.853 0.000 0.582

=====

SiTcNi: optimized geometry, GGA-PBE.

Calculated values
For the magnetization, the calculation gives 0.00 μB per cell. The value obtained for the distance to the lowest polymorph of the same formula is 0.0 meV per atom. Its symmetry is Immm. The formation energy without anion corrections comes out at -1.21 eV per formula unit.

a = 3.240 Å, b = 3.771 Å, c = 12.324 Å
α = 90.00°, β = 90.00°, γ = 90.00°
Positions (direct):
Si1 0.000 0.000 0.134
Si2 0.000 0.000 0.866
Si3 0.500 0.500 0.366
Si4 0.500 0.500 0.634
Tc1 0.000 0.000 0.330
Tc2 0.000 0.000 0.670
Tc3 0.500 0.500 0.170
Tc4 0.500 0.500 0.830
Ni1 0.000 0.500 0.000
Ni2 0.000 0.500 0.500
Ni3 0.500 0.000 0.000
Ni4 0.500 0.000 0.500

=====

SiTcNi: optimized geometry, GGA-PBE.

Calculated values
For the magnetization, the calculation gives 0.00 μB per cell. The value obtained for the distance to the lowest polymorph of the same formula is 18.5 meV per atom. Its symmetry is Pmn2_1. The formation energy without anion corrections comes out at -1.15 eV per formula unit.

a = 2.848 Å, b = 6.480 Å, c = 4.077 Å
α = 90.00°, β = 90.00°, γ = 90.00°
Positions (direct):
Si1 0.000 0.230 0.000
Si2 0.500 0.770 0.500
Tc1 0.000 0.859 0.009
Tc2 0.500 0.141 0.509
Ni1 0.000 0.495 0.388
Ni2 0.500 0.505 0.888

=====

SiTcNi2: optimized geometry, GGA-PBE.

Calculated values
For the magnetization, the calculation gives 0.01 μB per cell. Its symmetry is F-43m. The formation energy without anion corrections comes out at -0.99 eV per formula unit.

a = 5.772 Å, b = 5.772 Å, c = 5.772 Å
α = 90.00°, β = 90.00°, γ = 90.00°
Positions (direct):
Si1 0.000 0.000 0.000
Si2 0.000 0.500 0.500
Si3 0.500 0.000 0.500
Si4 0.500 0.500 0.000
Tc1 0.250 0.250 0.750
Tc2 0.250 0.750 0.250
Tc3 0.750 0.250 0.250
Tc4 0.750 0.750 0.750
Ni1 0.000 0.000 0.500
Ni2 0.000 0.500 0.000
Ni3 0.250 0.250 0.250
Ni4 0.250 0.750 0.750
Ni5 0.500 0.000 0.000
Ni6 0.500 0.500 0.500
Ni7 0.750 0.250 0.750
Ni8 0.750 0.750 0.250

=====

Si12Tc3Ni5: optimized geometry, GGA-PBE.

Calculated values
For the magnetization, the calculation gives 0.00 μB per cell. Its symmetry is Ia-3d. The formation energy without anion corrections comes out at 1.52 eV per formula unit.

a = 11.883 Å, b = 11.883 Å, c = 11.883 Å
α = 109.47°, β = 109.47°, γ = 109.47°
Positions (direct):
Si1 0.061 0.225 0.139
Si2 0.061 0.336 0.922
Si3 0.078 0.639 0.414
Si4 0.078 0.939 0.664
Si5 0.086 0.725 0.664
Si6 0.086 0.861 0.422
Si7 0.139 0.061 0.225
Si8 0.139 0.578 0.914
Si9 0.164 0.225 0.586
Si10 0.164 0.439 0.578
Si11 0.225 0.139 0.061
Si12 0.225 0.586 0.164
Si13 0.275 0.336 0.914
Si14 0.275 0.439 0.361
Si15 0.336 0.914 0.275
Si16 0.336 0.922 0.061
Si17 0.361 0.275 0.439
Si18 0.361 0.586 0.922
Si19 0.414 0.078 0.639
Si20 0.414 0.836 0.775
Si21 0.422 0.086 0.861
Si22 0.422 0.836 0.561
Si23 0.439 0.361 0.275
Si24 0.439 0.578 0.164
Si25 0.561 0.422 0.836
Si26 0.561 0.639 0.725
Si27 0.578 0.164 0.439
Si28 0.578 0.914 0.139
Si29 0.586 0.164 0.225
Si30 0.586 0.922 0.361
Si31 0.639 0.414 0.078
Si32 0.639 0.725 0.561
Si33 0.664 0.078 0.939
Si34 0.664 0.086 0.725
Si35 0.725 0.561 0.639
Si36 0.725 0.664 0.086
Si37 0.775 0.414 0.836
Si38 0.775 0.861 0.939
Si39 0.836 0.561 0.422
Si40 0.836 0.775 0.414
Si41 0.861 0.422 0.086
Si42 0.861 0.939 0.775
Si43 0.914 0.139 0.578
Si44 0.914 0.275 0.336
Si45 0.922 0.061 0.336
Si46 0.922 0.361 0.586
Si47 0.939 0.664 0.078
Si48 0.939 0.775 0.861
Tc1 0.125 0.250 0.375
Tc2 0.125 0.375 0.750
Tc3 0.250 0.375 0.125
Tc4 0.250 0.875 0.625
Tc5 0.375 0.125 0.250
Tc6 0.375 0.750 0.125
Tc7 0.625 0.250 0.875
Tc8 0.625 0.875 0.750
Tc9 0.750 0.125 0.375
Tc10 0.750 0.625 0.875
Tc11 0.875 0.625 0.250
Tc12 0.875 0.750 0.625
Ni1 0.000 0.000 0.000
Ni2 0.000 0.000 0.500
Ni3 0.000 0.500 0.000
Ni4 0.000 0.500 0.500
Ni5 0.125 0.750 0.875
Ni6 0.125 0.875 0.250
Ni7 0.250 0.125 0.875
Ni8 0.250 0.625 0.375
Ni9 0.375 0.250 0.625
Ni10 0.375 0.625 0.750
Ni11 0.500 0.000 0.000
Ni12 0.500 0.000 0.500
Ni13 0.500 0.500 0.000
Ni14 0.500 0.500 0.500
Ni15 0.625 0.375 0.250
Ni16 0.625 0.750 0.375
Ni17 0.750 0.375 0.625
Ni18 0.750 0.875 0.125
Ni19 0.875 0.125 0.750
Ni20 0.875 0.250 0.125

=====

SiTcNi4: optimized geometry, GGA-PBE.

Calculated values
For the magnetization, the calculation gives 3.30 μB per cell. Its symmetry is F-43m. The formation energy without anion corrections comes out at 0.60 eV per formula unit.

a = 4.655 Å, b = 4.655 Å, c = 4.655 Å
α = 60.00°, β = 60.00°, γ = 60.00°
Positions (direct):
Si1 0.000 0.000 0.000
Tc1 0.250 0.250 0.250
Ni1 0.125 0.625 0.625
Ni2 0.625 0.125 0.625
Ni3 0.625 0.625 0.125
Ni4 0.625 0.625 0.625